1.
Crystalline PmH8Pt2 at its relaxed geometry. Source: the Alexandria database, functional GGA-PBE. Values from VASP.

Results
Its space-group type is C2/m.

Cell and atoms, written as Quantum ESPRESSO input:
```
&SYSTEM
  ibrav = 0, nat = 11, ntyp = 3
/
ATOMIC_SPECIES
H 1.01 H.upf
Pt 195.08 Pt.upf
Pm 145.00 Pm.upf
CELL_PARAMETERS angstrom
-0.986 3.675 -0.042
-4.479 0.823 3.180
2.733 2.766 3.965
ATOMIC_POSITIONS angstrom
H -2.671 3.280 3.410
H -1.980 5.466 4.659
H -0.497 3.906 6.112
H -0.059 3.984 3.694
H -0.751 1.799 2.444
Pt 0.481 2.159 3.720
Pm -0.493 1.838 -0.021
Pt -2.226 1.430 3.425
H -2.234 3.358 0.992
H -2.749 3.300 5.867
H 0.018 3.965 1.237
```

---

2.
Crystalline TcPt2Br at its relaxed geometry. Source: the Alexandria database, functional GGA-PBE. Values from VASP.

Results
Its space-group type is I-42d. The formation energy without anion corrections is 0.780 eV per atom.

Cell and atoms, written as Quantum ESPRESSO input:
```
&SYSTEM
  ibrav = 0, nat = 8, ntyp = 3
/
ATOMIC_SPECIES
Tc 98.00 Tc.upf
Pt 195.08 Pt.upf
Br 79.90 Br.upf
CELL_PARAMETERS angstrom
6.531 0.000 0.000
0.000 6.531 0.000
3.265 3.265 4.306
ATOMIC_POSITIONS angstrom
Tc 0.000 0.000 0.000
Pt 4.898 4.678 3.230
Tc 6.531 3.265 2.153
Pt 5.118 1.633 1.077
Br 3.265 6.531 2.153
Pt 8.163 8.383 3.230
Br 3.265 3.265 0.000
Pt 1.413 4.898 1.077
```

---

3.
Crystalline Y2AgN at its relaxed geometry. Source: the Alexandria database, functional GGA-PBE. Values from VASP.

Results
Its space-group type is I-42d. The formation energy without anion corrections is -0.758 eV per atom.

Cell and atoms, written as Quantum ESPRESSO input:
```
&SYSTEM
  ibrav = 0, nat = 8, ntyp = 3
/
ATOMIC_SPECIES
Y 88.91 Y.upf
N 14.01 N.upf
Ag 107.87 Ag.upf
CELL_PARAMETERS angstrom
6.665 0.000 0.000
0.000 6.665 0.000
3.332 3.332 4.168
ATOMIC_POSITIONS angstrom
Y 8.331 7.754 3.126
Y 4.421 1.666 1.042
N 3.332 3.332 0.000
Y 2.244 4.999 1.042
Y 4.999 5.576 3.126
Ag 6.665 3.332 2.084
Ag 0.000 0.000 0.000
N 3.332 6.665 2.084
```

---

4.
Crystalline Ca2AcEr at its relaxed geometry. Source: the Alexandria database, functional GGA-PBE. Values from VASP.

Results
For the calculated formation energy, the calculation gives 154 meV/atom. Its space-group type is P4/mmm.

Cell and atoms, written as Quantum ESPRESSO input:
```
&SYSTEM
  ibrav = 0, nat = 4, ntyp = 3
/
ATOMIC_SPECIES
Ac 227.00 Ac.upf
Er 167.26 Er.upf
Ca 40.08 Ca.upf
CELL_PARAMETERS angstrom
-0.195 -5.549 -1.444
-0.578 -1.287 5.024
-5.184 0.316 -0.515
ATOMIC_POSITIONS angstrom
Ac -0.097 -2.775 -0.722
Er -2.978 -3.260 1.533
Ca -0.289 -0.643 2.512
Ca -2.592 0.158 -0.258
```

---

The following DOS at the Fermi energy values (in states/eV/cell) correspond, in order, to the records above: 2.05; 8.94; 0.66; 7.73.
The following E_tot values (in eV per atom) correspond, in order, to the records above: -4.211; -5.250; -6.785; -3.015.
The following total magnetization values (in μB/f.u.) correspond, in order, to the records above: 0.000; 0.000; 0.000; 0.000.